Compound: Pm3Ho3Er2
Source: the Alexandria database
Functional: PBE
Structure: relaxed

Calculated values
The calculation puts the energy relative to the elements at 0.5 kcal/mol of atoms. As for the total energy: -4.617 eV/atom. The calculation puts the total magnetization at 0.00 μB per formula unit.

Geometry as POSCAR:
```
Pm3Ho3Er2
1.0
-2.519 2.523 10.096
2.519 -2.523 10.096
2.519 2.523 -10.096
Pm Ho Er
3 3 2
Cartesian
0.000 0.000 0.000
2.519 0.000 7.561
0.000 2.523 2.535
2.519 0.000 2.556
0.000 0.000 10.096
0.000 2.523 7.540
0.000 0.000 5.038
0.000 0.000 15.154
```